TcNiGe3 | Alexandria | PBE-GGA | relaxed; ΔE to the lowest computed polymorph = 0.0000 eV/atom; space group = Pnma
1.0
7.219 0.000 0.000
0.000 3.321 0.000
0.000 0.000 12.442
Tc Ni Ge
4 4 12
direct
0.109 0.250 0.163
0.391 0.750 0.663
0.609 0.250 0.337
0.891 0.750 0.837
0.127 0.750 0.472
0.373 0.250 0.972
0.627 0.750 0.028
0.873 0.250 0.528
0.013 0.750 0.646
0.145 0.750 0.002
0.193 0.250 0.803
0.307 0.750 0.303
0.355 0.250 0.502
0.487 0.250 0.146
0.513 0.750 0.854
0.645 0.750 0.498
0.693 0.250 0.697
0.807 0.750 0.197
0.855 0.250 0.998
0.987 0.250 0.354

TcNiGe3 | Alexandria | PBE-GGA | relaxed; ΔE to the lowest computed polymorph = 0.7906 eV/atom; space group = Pm-3m
1.0
4.763 0.000 0.000
0.000 4.763 0.000
0.000 0.000 4.763
Tc Ni Ge
1 1 3
direct
0.000 0.000 0.000
0.500 0.500 0.500
0.000 0.000 0.500
0.000 0.500 0.000
0.500 0.000 0.000

TcNi3Ge | Alexandria | PBE-GGA | relaxed; ΔE to the lowest computed polymorph = 0.3320 eV/atom; space group = Pm-3m
1.0
4.482 0.000 0.000
0.000 4.482 0.000
0.000 0.000 4.482
Tc Ni Ge
1 3 1
direct
0.000 0.000 0.000
0.000 0.000 0.500
0.000 0.500 0.000
0.500 0.000 0.000
0.500 0.500 0.500

Tc2NiGe2 | Alexandria | PBE-GGA | relaxed; ΔE to the lowest computed polymorph = 0.0000 eV/atom; space group = P4/mbm
1.0
6.675 0.000 0.000
0.000 6.675 0.000
0.000 0.000 3.247
Tc Ni Ge
4 2 4
direct
0.153 0.347 0.000
0.347 0.847 0.000
0.653 0.153 0.000
0.847 0.653 0.000
0.000 0.000 0.500
0.500 0.500 0.500
0.147 0.647 0.500
0.353 0.147 0.500
0.647 0.853 0.500
0.853 0.353 0.500

TcNi12Ge3 | Alexandria | PBE-GGA | relaxed; space group = P4/mmm
1.0
3.586 0.000 0.000
0.000 3.586 0.000
0.000 0.000 14.347
Tc Ni Ge
1 12 3
direct
0.000 0.000 0.000
0.000 0.500 0.125
0.000 0.500 0.375
0.000 0.500 0.625
0.000 0.500 0.875
0.500 0.000 0.125
0.500 0.000 0.375
0.500 0.000 0.625
0.500 0.000 0.875
0.500 0.500 0.000
0.500 0.500 0.250
0.500 0.500 0.500
0.500 0.500 0.750
0.000 0.000 0.254
0.000 0.000 0.500
0.000 0.000 0.746

TcNi2Ge | Alexandria | PBE-GGA | relaxed; space group = I-42d
1.0
-1.791 1.791 8.674
1.791 -1.791 8.674
1.791 1.791 -8.674
Tc Ni Ge
2 4 2
direct
0.000 0.000 0.000
0.750 0.250 0.500
0.132 0.625 0.007
0.375 0.382 0.507
0.618 0.125 0.993
0.875 0.868 0.493
0.250 0.750 0.500
0.500 0.500 0.000

Tc2NiGe4 | Alexandria | PBE-GGA | relaxed; ΔE to the lowest computed polymorph = 0.6564 eV/atom; space group = I4/mmm
1.0
-2.284 2.284 6.171
2.284 -2.284 6.171
2.284 2.284 -6.171
Tc Ni Ge
2 1 4
direct
0.106 0.106 0.000
0.894 0.894 0.000
0.500 0.500 0.000
0.000 0.500 0.500
0.308 0.308 0.000
0.500 0.000 0.500
0.692 0.692 0.000

TcNi3Ge | Alexandria | PBE-GGA | relaxed; ΔE to the lowest computed polymorph = 0.0000 eV/atom; space group = Pm-3m
1.0
4.294 0.000 0.000
0.000 4.294 0.000
0.000 0.000 4.294
Tc Ni Ge
1 3 1
direct
0.000 0.000 0.000
0.000 0.500 0.500
0.500 0.000 0.500
0.500 0.500 0.000
0.500 0.500 0.500

VASP energy readings, ordered: -6.101 -5.310 -5.212 -7.058 -6.033 -6.319 -5.887 -5.544 eV/atom